# 1
## Li6Pd2Rh (PBE)

Data for Li6Pd2Rh after structural relaxation.

Results
Space group = C2/c (15)
ΔH_f (0 K) = -0.237 eV per atom
Distance to the lowest polymorph of the same formula = 63 meV/atom
DFT total energy = -3.483 eV per atom

a = 7.5992 Å, b = 7.5992 Å, c = 4.5599 Å
α = 97.04°, β = 97.04°, γ = 72.25°
With the nearest neighbours (Å) after each atom.
Fractional positions:
Li 0.0754 0.8135 0.9813  4 Pd 2.58-2.71, 5 Li 2.58-2.74, 1 Rh 2.65
Li 0.1546 0.4072 0.1443  4 Pd 2.61-2.74, 5 Li 2.62-2.74, 1 Rh 2.66
Li 0.1865 0.9246 0.5187  4 Pd 2.58-2.71, 5 Li 2.58-2.74, 1 Rh 2.65
Li 0.2613 0.5170 0.6865  3 Rh 2.53-2.72, 5 Li 2.58-2.70, 2 Pd 2.60-2.72
Li 0.4072 0.1546 0.6443  4 Pd 2.61-2.74, 5 Li 2.62-2.74, 1 Rh 2.66
Li 0.4830 0.7387 0.8135  3 Rh 2.53-2.72, 5 Li 2.58-2.70, 2 Pd 2.60-2.72
Li 0.5170 0.2613 0.1865  3 Rh 2.53-2.72, 5 Li 2.58-2.70, 2 Pd 2.60-2.72
Li 0.5928 0.8454 0.3557  4 Pd 2.61-2.74, 5 Li 2.62-2.74, 1 Rh 2.66
Li 0.7387 0.4830 0.3135  3 Rh 2.53-2.72, 5 Li 2.58-2.70, 2 Pd 2.60-2.72
Li 0.8135 0.0754 0.4813  4 Pd 2.58-2.71, 5 Li 2.58-2.74, 1 Rh 2.65
Li 0.8454 0.5928 0.8557  4 Pd 2.61-2.74, 5 Li 2.62-2.74, 1 Rh 2.66
Li 0.9246 0.1865 0.0187  4 Pd 2.58-2.71, 5 Li 2.58-2.74, 1 Rh 2.65
Pd 0.0445 0.2862 0.5803  10 Li 2.58-2.74
Pd 0.2862 0.0445 0.0803  10 Li 2.58-2.74
Pd 0.7138 0.9555 0.9197  10 Li 2.58-2.74
Pd 0.9555 0.7138 0.4197  10 Li 2.58-2.74
Rh 0.3883 0.6117 0.2500  10 Li 2.53-2.72
Rh 0.6117 0.3883 0.7500  10 Li 2.53-2.72

# 2
## Mg2ScTc (PBE)

Data for Mg2ScTc after structural relaxation.

Results
Space group = Cmmm (65)
ΔH_f (0 K) = 0.210 eV per atom
Distance to the lowest polymorph of the same formula = 193 meV/atom
DFT total energy = -4.762 eV per atom

a = 2.8449 Å, b = 2.8449 Å, c = 9.6932 Å
α = 90.00°, β = 90.00°, γ = 104.80°
With the nearest neighbours (Å) after each atom.
Fractional positions:
Mg 0.0000 0.0000 0.2229  2 Tc 2.77, 4 Mg 2.84
Mg 0.0000 0.0000 0.7771  2 Tc 2.77, 4 Mg 2.84
Sc 0.5000 0.5000 0.5000  4 Sc 2.84
Tc 0.5000 0.5000 0.0000  4 Mg 2.77, 4 Tc 2.84

# 3
## EuTmAu2 (PBE)

Data for EuTmAu2 after structural relaxation.

Results
Space group = R-3m (166)
ΔH_f (0 K) = -0.730 eV per atom
DFT total energy = -6.055 eV per atom

a = 7.4620 Å, b = 7.4620 Å, c = 7.4620 Å
α = 33.07°, β = 33.07°, γ = 33.07°
With the nearest neighbours (Å) after each atom.
Fractional positions:
Eu 0.0000 0.0000 0.0000  6 Au 3.14
Tm 0.5000 0.5000 0.5000  6 Au 2.91
Au 0.2408 0.2408 0.2408  3 Tm 2.91, 3 Eu 3.14
Au 0.7592 0.7592 0.7592  3 Tm 2.91, 3 Eu 3.14

# 4
## CsLiAgP (PBE)

Data for CsLiAgP after structural relaxation.

Results
Space group = R3m (160)
ΔH_f (0 K) = -0.319 eV per atom
DFT total energy = -3.076 eV per atom

a = 7.0378 Å, b = 7.0378 Å, c = 7.0378 Å
α = 37.15°, β = 37.15°, γ = 37.15°
With the nearest neighbours (Å) after each atom.
Fractional positions:
Cs 0.0000 0.0000 0.0000  1 Ag 3.43, 1 P 3.59
Li 0.5080 0.5080 0.5080  3 P 2.59, 3 Ag 2.61
Ag 0.8254 0.8254 0.8254  3 Li 2.61, 3 P 2.63
P 0.1828 0.1828 0.1828  3 Li 2.59, 3 Ag 2.63

# 5
## ZnPRuS2 (PBE)

Data for ZnPRuS2 after structural relaxation.

Results
Space group = P4/mmm (123)
Distance to the lowest polymorph of the same formula = 690 meV/atom
DFT total energy = -3.632 eV per atom
Uncorrected formation energy = 116.8 kJ/mol of atoms

a = 4.5498 Å, b = 4.5498 Å, c = 4.4445 Å
α = 90.00°, β = 90.00°, γ = 90.00°
With the nearest neighbours (Å) after each atom.
Fractional positions:
Zn 0.0000 0.0000 0.0000  2 P 2.22, 4 S 2.27
P 0.0000 0.0000 0.5000  2 Zn 2.22
Ru 0.5000 0.5000 0.5000  8 S 3.18, 4 P 3.22
S 0.0000 0.5000 0.0000  2 Zn 2.27
S 0.5000 0.0000 0.0000  2 Zn 2.27

# 6
## Tb3CePm4S8 (PBE)

Data for Tb3CePm4S8 after structural relaxation.

Results
Space group = R-3m (166)
DFT total energy = -6.520 eV per atom
Uncorrected formation energy = -195.8 kJ/mol of atoms

a = 7.9864 Å, b = 7.9864 Å, c = 7.9864 Å
α = 59.94°, β = 59.94°, γ = 59.94°
With the nearest neighbours (Å) after each atom.
Fractional positions:
Tb 0.0000 0.5000 0.5000  6 S 2.78
Tb 0.5000 0.0000 0.5000  6 S 2.78
Tb 0.5000 0.5000 0.0000  6 S 2.78
Ce 0.0000 0.0000 0.0000  6 S 2.81
Pm 0.0000 0.0000 0.5000  6 S 2.86
Pm 0.0000 0.5000 0.0000  6 S 2.86
Pm 0.5000 0.0000 0.0000  6 S 2.86
Pm 0.5000 0.5000 0.5000  6 S 2.83
S 0.2490 0.2490 0.7442  2 Tb 2.78, 1 Ce 2.81, 3 Pm 2.83-2.86
S 0.2490 0.7442 0.2490  2 Tb 2.78, 1 Ce 2.81, 3 Pm 2.83-2.86
S 0.2534 0.2534 0.2534  3 Tb 2.78, 3 Pm 2.86
S 0.2558 0.7510 0.7510  2 Tb 2.78, 1 Ce 2.81, 3 Pm 2.83-2.86
S 0.7442 0.2490 0.2490  2 Tb 2.78, 1 Ce 2.81, 3 Pm 2.83-2.86
S 0.7466 0.7466 0.7466  3 Tb 2.78, 3 Pm 2.86
S 0.7510 0.2558 0.7510  2 Tb 2.78, 1 Ce 2.81, 3 Pm 2.83-2.86
S 0.7510 0.7510 0.2558  2 Tb 2.78, 1 Ce 2.81, 3 Pm 2.83-2.86

# 7
## Sr2PCl (PBE)

Data for Sr2PCl after structural relaxation.

Results
Space group = F-43m (216)
DFT total energy = -3.243 eV per atom
Uncorrected formation energy = -56.8 kJ/mol of atoms

a = 5.3081 Å, b = 5.3081 Å, c = 5.3081 Å
α = 60.00°, β = 60.00°, γ = 60.00°
With the nearest neighbours (Å) after each atom.
Fractional positions:
Sr 0.0000 0.0000 0.0000  4 Sr 3.25, 4 P 3.25
Sr 0.2500 0.2500 0.2500  4 Cl 3.25, 4 Sr 3.25
P 0.7500 0.7500 0.7500  4 Cl 3.25, 4 Sr 3.25
Cl 0.5000 0.5000 0.5000  4 P 3.25, 4 Sr 3.25

# 8
## Tb3Sm2Dy9 (PBE)

Data for Tb3Sm2Dy9 after structural relaxation.

Results
Space group = P1 (1)
ΔH_f (0 K) = 0.081 eV per atom
DFT total energy = -4.544 eV per atom

a = 6.4380 Å, b = 8.3913 Å, c = 8.8803 Å
α = 87.37°, β = 82.90°, γ = 71.02°
With the nearest neighbours (Å) after each atom.
Fractional positions:
Tb 0.0000 0.0000 0.0000  7 Dy 3.27-3.65, 1 Sm 3.42
Tb 0.1624 0.3000 0.3668  2 Sm 3.26-3.39, 5 Dy 3.38-3.62, 1 Tb 3.62
Tb 0.3261 0.5053 0.6596  8 Dy 3.22-3.60, 1 Sm 3.24
Sm 0.5457 0.9484 0.2119  1 Sm 3.30, 5 Dy 3.35-3.62, 2 Tb 3.39-3.42
Sm 0.6835 0.5949 0.4095  2 Tb 3.24-3.26, 1 Sm 3.30, 5 Dy 3.36-3.60
Dy 0.0302 0.5467 0.0324  8 Dy 3.40-3.76, 3 Tb 3.57-3.74, 1 Sm 3.75
Dy 0.1386 0.7411 0.3263  5 Dy 3.40-3.76, 3 Sm 3.48-3.62, 3 Tb 3.57-3.66
Dy 0.2874 0.9446 0.6153  8 Dy 3.39-3.78, 3 Tb 3.56-3.65, 2 Sm 3.60-3.76
Dy 0.4516 0.1521 0.8720  3 Tb 3.36-3.65, 7 Dy 3.39-3.74, 1 Sm 3.42
Dy 0.4795 0.7038 0.9466  6 Dy 3.24-3.61, 2 Tb 3.27-3.51, 1 Sm 3.35
Dy 0.6023 0.3524 0.1462  4 Dy 3.29-3.65, 2 Sm 3.36-3.54, 2 Tb 3.38-3.40
Dy 0.7221 0.1402 0.4835  7 Dy 3.38-3.78, 2 Sm 3.45-3.77, 3 Tb 3.54-3.68
Dy 0.8452 0.7883 0.7012  1 Tb 3.22, 7 Dy 3.24-3.60, 1 Sm 3.55
Dy 0.8757 0.3519 0.7476  8 Dy 3.43-3.82, 4 Tb 3.52-3.62, 1 Sm 3.66

# 9
## BeBr2Cl (PBE)

Data for BeBr2Cl after structural relaxation.

Results
Space group = Cmm2 (35)
Distance to the lowest polymorph of the same formula = 194 meV/atom
DFT total energy = -2.732 eV per atom
Uncorrected formation energy = -48.4 kJ/mol of atoms

a = 5.2546 Å, b = 5.2546 Å, c = 10.8153 Å
α = 90.00°, β = 90.00°, γ = 146.61°
With the nearest neighbours (Å) after each atom.
Fractional positions:
Be 0.0000 0.0000 0.0000  2 Cl 2.05, 2 Br 2.27
Br 0.0000 0.0000 0.4813  2 Br 3.02
Br 0.5000 0.5000 0.8429  2 Be 2.27
Cl 0.5000 0.5000 0.1286  2 Be 2.05

# 10
## Ce2Pt17 (PBE)

Data for Ce2Pt17 after structural relaxation.

Results
Space group = R-3m (166)
ΔH_f (0 K) = -0.424 eV per atom
DFT total energy = -6.454 eV per atom

a = 6.9840 Å, b = 6.9840 Å, c = 6.9840 Å
α = 83.48°, β = 83.48°, γ = 83.48°
With the nearest neighbours (Å) after each atom.
Fractional positions:
Ce 0.1675 0.1675 0.1675  10 Pt 3.01-3.37
Ce 0.8325 0.8325 0.8325  10 Pt 3.01-3.37
Pt 0.0000 0.5000 0.5000  10 Pt 2.67-2.80
Pt 0.1528 0.1528 0.6623  9 Pt 2.65-2.89
Pt 0.1528 0.6623 0.1528  9 Pt 2.65-2.89
Pt 0.1885 0.5000 0.8115  8 Pt 2.67-2.90
Pt 0.1885 0.8115 0.5000  8 Pt 2.67-2.90
Pt 0.3377 0.8472 0.8472  9 Pt 2.65-2.89
Pt 0.3924 0.3924 0.3924  7 Pt 2.80-2.89, 1 Ce 3.01
Pt 0.5000 0.0000 0.5000  10 Pt 2.67-2.80
Pt 0.5000 0.1885 0.8115  8 Pt 2.67-2.90
Pt 0.5000 0.5000 0.0000  10 Pt 2.67-2.80
Pt 0.5000 0.8115 0.1885  8 Pt 2.67-2.90
Pt 0.6076 0.6076 0.6076  7 Pt 2.80-2.89, 1 Ce 3.01
Pt 0.6623 0.1528 0.1528  9 Pt 2.65-2.89
Pt 0.8115 0.1885 0.5000  8 Pt 2.67-2.90
Pt 0.8115 0.5000 0.1885  8 Pt 2.67-2.90
Pt 0.8472 0.3377 0.8472  9 Pt 2.65-2.89
Pt 0.8472 0.8472 0.3377  9 Pt 2.65-2.89

The lowest DFT total energy belongs to which entry?
Tb3CePm4S8

Repeat the first record exactly.
## Li6Pd2Rh (PBE)

Data for Li6Pd2Rh after structural relaxation.

Results
Space group = C2/c (15)
ΔH_f (0 K) = -0.237 eV per atom
Distance to the lowest polymorph of the same formula = 63 meV/atom
DFT total energy = -3.483 eV per atom

a = 7.5992 Å, b = 7.5992 Å, c = 4.5599 Å
α = 97.04°, β = 97.04°, γ = 72.25°
With the nearest neighbours (Å) after each atom.
Fractional positions:
Li 0.0754 0.8135 0.9813  4 Pd 2.58-2.71, 5 Li 2.58-2.74, 1 Rh 2.65
Li 0.1546 0.4072 0.1443  4 Pd 2.61-2.74, 5 Li 2.62-2.74, 1 Rh 2.66
Li 0.1865 0.9246 0.5187  4 Pd 2.58-2.71, 5 Li 2.58-2.74, 1 Rh 2.65
Li 0.2613 0.5170 0.6865  3 Rh 2.53-2.72, 5 Li 2.58-2.70, 2 Pd 2.60-2.72
Li 0.4072 0.1546 0.6443  4 Pd 2.61-2.74, 5 Li 2.62-2.74, 1 Rh 2.66
Li 0.4830 0.7387 0.8135  3 Rh 2.53-2.72, 5 Li 2.58-2.70, 2 Pd 2.60-2.72
Li 0.5170 0.2613 0.1865  3 Rh 2.53-2.72, 5 Li 2.58-2.70, 2 Pd 2.60-2.72
Li 0.5928 0.8454 0.3557  4 Pd 2.61-2.74, 5 Li 2.62-2.74, 1 Rh 2.66
Li 0.7387 0.4830 0.3135  3 Rh 2.53-2.72, 5 Li 2.58-2.70, 2 Pd 2.60-2.72
Li 0.8135 0.0754 0.4813  4 Pd 2.58-2.71, 5 Li 2.58-2.74, 1 Rh 2.65
Li 0.8454 0.5928 0.8557  4 Pd 2.61-2.74, 5 Li 2.62-2.74, 1 Rh 2.66
Li 0.9246 0.1865 0.0187  4 Pd 2.58-2.71, 5 Li 2.58-2.74, 1 Rh 2.65
Pd 0.0445 0.2862 0.5803  10 Li 2.58-2.74
Pd 0.2862 0.0445 0.0803  10 Li 2.58-2.74
Pd 0.7138 0.9555 0.9197  10 Li 2.58-2.74
Pd 0.9555 0.7138 0.4197  10 Li 2.58-2.74
Rh 0.3883 0.6117 0.2500  10 Li 2.53-2.72
Rh 0.6117 0.3883 0.7500  10 Li 2.53-2.72

Which formula does entry 6 have?
Tb3CePm4S8